The following is a GGA-PBE calculation of a geometry-optimized ZrGa2S4 structure, from Alexandria via LeMat-Bulk.

abc: 7.400 7.400 6.296
angles: 90.00 90.00 90.00
Space group I4/m (No. 87)
One atom of each set of equivalent atoms:
Zr1 0.000 0.000 0.000 x2
Ga1 0.000 0.500 0.250 x4
S1 0.149 0.319 0.000 x8

Calculated values
As for the total energy: -5.03 eV/atom. The calculation puts the uncorrected formation energy at -4.071 eV/f.u. The density of states at the Fermi level is 2.38 states/eV/f.u.

=====

The following is a GGA-PBE calculation of a geometry-optimized KFeRe2 structure, from Alexandria via LeMat-Bulk.

abc: 3.073 4.342 10.176
angles: 90.00 90.00 90.00
Space group Cmmm (No. 65)
One atom of each set of equivalent atoms:
K1 0.000 0.000 0.000 x2
Fe1 0.000 0.000 0.500 x2
Re1 0.000 0.500 0.298 x4

Calculated values
As for the total energy: -7.81 eV/atom. The value obtained for the energy above the lowest structure with this stoichiometry is 0.0 meV per atom. The calculation puts the calculated formation energy at 78 kJ/mol of atoms. The density of states at the Fermi level is 3.23 states/eV/f.u.

=====

The following is a GGA-PBE calculation of a geometry-optimized KRuPt2 structure, from Alexandria via LeMat-Bulk.

abc: 2.8012 2.8012 30.4836
angles: 90.00 90.00 120.00
Space group R-3m (No. 166, hexagonal axes)
One atom of each set of equivalent atoms:
K1 0.0000 0.0000 0.0000 x3
Ru1 0.0000 0.0000 0.5000 x3
Pt1 0.0000 0.0000 0.2406 x6

Calculated values
As for the total energy: -5.30 eV/atom. The value obtained for the energy above the lowest structure with this stoichiometry is 163.7 meV per atom. The calculation puts the calculated formation energy at 30 kJ/mol of atoms. The density of states at the Fermi level is 3.71 states/eV/f.u.

=====

The following is a GGA-PBE calculation of a geometry-optimized NaCdHg2H structure, from Alexandria via LeMat-Bulk.

abc: 4.968 4.968 4.163
angles: 90.00 90.00 90.00
Space group P4/mmm (No. 123)
One atom of each set of equivalent atoms:
Na1 0.000 0.000 0.000 x1
Cd1 0.500 0.500 0.000 x1
Hg1 0.000 0.500 0.500 x2
H1 0.000 0.000 0.500 x1

Calculated values
As for the total energy: -1.16 eV/atom. The density of states at the Fermi level is 1.63 states/eV/f.u.

=====

The following is a GGA-PBE calculation of a geometry-optimized Al2PtPb structure, from Alexandria via LeMat-Bulk.

abc: 3.1757 3.1757 27.7313
angles: 90.00 90.00 120.00
Space group R3m (No. 160, hexagonal axes)
One atom of each set of equivalent atoms:
Al1 0.0000 0.0000 0.0000 x3
Al2 0.0000 0.0000 0.2542 x3
Pt1 0.0000 0.0000 0.5257 x3
Pb1 0.0000 0.0000 0.7677 x3

Calculated values
As for the total energy: -4.41 eV/atom. The calculation puts the calculated formation energy at -10 kJ/mol of atoms. The density of states at the Fermi level is 1.99 states/eV/f.u.

=====

The following is a GGA-PBE calculation of a geometry-optimized Sr2URhO8 structure, from Alexandria via LeMat-Bulk.

abc: 4.579 6.808 5.445
angles: 90.00 96.17 90.00
Space group P2/m (No. 10)
One atom of each set of equivalent atoms:
Sr1 0.000 0.240 0.000 x2
U1 0.500 0.500 0.500 x1
Rh1 0.500 0.000 0.500 x1
O1 0.081 0.000 0.395 x2
O2 0.118 0.500 0.285 x2
O3 0.438 0.239 0.728 x4

Calculated values
As for the total energy: -7.28 eV/atom. The calculation puts the uncorrected formation energy at -25.654 eV/f.u. The density of states at the Fermi level is 4.38 states/eV/f.u.